The following is a PBE calculation of a geometry-optimized CsK2S2 structure, from Alexandria via LeMat-Bulk.

```
5
Lattice="-3.811 0.385 -4.451 2.834 -4.314 -2.800 -3.734 -5.690 -1.169" Properties=species:S:1:pos:R:3 pbc="T T T"
Cs 0.000 0.000 0.000
K -1.562 -3.197 -2.813
K -3.149 -6.422 -5.607
S -4.016 -3.634 -4.623
S -0.694 -5.984 -3.797
```

Results
DFT total energy = -0.10938 hartree per atom
Total moment = 0.2000 μB/atom
Crystal system = tetragonal
E_form (uncorrected) = -0.7158 eV/atom


The following is a PBE calculation of a geometry-optimized CsKS2 structure, from Alexandria via LeMat-Bulk.

```
4
Lattice="-2.004 -3.663 1.148 1.272 0.588 4.097 -5.670 3.497 1.259" Properties=species:S:1:pos:R:3 pbc="T T T"
Cs -3.201 0.211 3.252
K -0.366 -1.537 2.622
S -4.771 2.942 1.059
S -0.899 0.555 0.200
```

Results
DFT total energy = -0.12528 hartree per atom
Total moment = 0.0000 μB/atom
Crystal system = tetragonal
E_form (uncorrected) = -0.8574 eV/atom